## K2Li2MoO4 (PBE with a Hubbard U)

Data for K2Li2MoO4 after structural relaxation.

Results
E	-5.36	eV per atom
space-group type	No. 12
volume	13.03	A^3/atom
mass density	3.57	g/cm³

a = 6.2350 Å, b = 6.2350 Å, c = 6.2241 Å
α = 109.31°, β = 109.31°, γ = 31.06°
Last column: nearest neighbours and their distance in Å.
Sites, in units of the cell vectors:
K (0.1371, 0.1371, 0.0541)  7 O 2.83-2.95, 3 Li 2.96-3.04, 1 K 3.13
K (0.8629, 0.8629, 0.9459)  7 O 2.83-2.95, 3 Li 2.96-3.04, 1 K 3.13
Li (0.3199, 0.3199, 0.5161)  4 O 1.92-2.02
Li (0.6801, 0.6801, 0.4839)  4 O 1.92-2.02
Mo (0.0000, 0.0000, 0.5000)  6 O 2.08-2.15
O (0.1838, 0.1838, 0.6380)  3 Li 1.92-2.02, 1 Mo 2.08
O (0.4852, 0.4852, 0.7062)  1 Li 1.93, 2 Mo 2.15
O (0.5148, 0.5148, 0.2938)  1 Li 1.93, 2 Mo 2.15
O (0.8162, 0.8162, 0.3620)  3 Li 1.92-2.02, 1 Mo 2.08